Record 1
## Hf2ZrAs (PBE)

Data for Hf2ZrAs after structural relaxation.

Cell lengths 8.0837, 8.0837, 6.3460 Å; angles 50.44, 50.44, 90.00 degrees
With the nearest neighbours (Å) after each atom.
Positions (direct):
As1 0.5000 0.5000 0.0000  4 Hf 2.65, 2 Zr 2.76
As2 0.2500 0.7500 0.5000  4 Hf 2.65, 2 Zr 2.76
Hf1 0.5683 0.1250 0.2500  2 As 2.65, 2 Hf 2.90
Hf2 0.1817 0.6250 0.2500  2 As 2.65, 2 Hf 2.90
Hf3 0.3750 0.4317 0.7500  2 As 2.65, 2 Hf 2.90
Hf4 0.8750 0.8183 0.7500  2 As 2.65, 2 Hf 2.90
Zr1 0.0000 0.0000 0.0000  2 As 2.76
Zr2 0.7500 0.2500 0.5000  2 As 2.76

Results
Size of the total moment = 0.000 μB/f.u.
ΔH_f (0 K) = -2.19 kcal/mol of atoms
ρ = 9.6 Mg/m³
Crystal system = tetragonal
E = -8.3710 eV/atom
DOS at the Fermi energy = 1.301 states/eV/atom

***

Record 2
## AlIn2Ag (PBE)

Data for AlIn2Ag after structural relaxation.

Cell lengths 4.3554, 4.3554, 10.2431 Å; angles 77.73, 77.73, 90.00 degrees
With the nearest neighbours (Å) after each atom.
Positions (direct):
Al1 0.5000 0.5000 0.0000  4 In 2.89, 4 Ag 3.08
Al2 0.2500 0.7500 0.5000  4 In 2.89, 4 Ag 3.08
Ag1 0.0000 0.0000 0.0000  4 In 2.88, 4 Al 3.08
Ag2 0.7500 0.2500 0.5000  4 In 2.88, 4 Al 3.08
In1 0.6272 0.1250 0.2500  2 Ag 2.88, 2 Al 2.89, 4 In 3.07-3.09
In2 0.1228 0.6250 0.2500  2 Ag 2.88, 2 Al 2.89, 4 In 3.07-3.09
In3 0.3750 0.3728 0.7500  2 Ag 2.88, 2 Al 2.89, 4 In 3.07-3.09
In4 0.8750 0.8772 0.7500  2 Ag 2.88, 2 Al 2.89, 4 In 3.07-3.09

Results
Size of the total moment = 0.000 μB/f.u.
ΔH_f (0 K) = 4.06 kcal/mol of atoms
ρ = 6.5 Mg/m³
Crystal system = tetragonal
E = -2.8417 eV/atom
DOS at the Fermi energy = 0.392 states/eV/atom

***

Record 3
## Sm7HoTh3 (PBE)

Data for Sm7HoTh3 after structural relaxation.

Cell lengths 8.6377, 7.1542, 7.1542 Å; angles 120.00, 90.00, 90.00 degrees
With the nearest neighbours (Å) after each atom.
Positions (direct):
Sm1 0.1122 0.1684 0.8316  2 Th 3.51, 8 Sm 3.54-3.62, 1 Ho 3.62
Sm2 0.1122 0.1684 0.3368  2 Th 3.51, 8 Sm 3.54-3.62, 1 Ho 3.62
Sm3 0.1069 0.6667 0.3333  3 Th 3.49, 9 Sm 3.58-3.64
Sm4 0.4552 0.8321 0.1679  2 Th 3.50, 7 Sm 3.55-3.64, 2 Ho 3.58
Sm5 0.4552 0.3359 0.1679  2 Th 3.50, 7 Sm 3.55-3.64, 2 Ho 3.58
Sm6 0.4552 0.8321 0.6641  2 Th 3.50, 7 Sm 3.55-3.64, 2 Ho 3.58
Sm7 0.1122 0.6632 0.8316  2 Th 3.51, 8 Sm 3.54-3.62, 1 Ho 3.62
Ho1 0.4581 0.3333 0.6667  3 Th 3.47, 9 Sm 3.58-3.62
Th1 0.7826 0.4991 0.5009  1 Ho 3.47, 5 Sm 3.49-3.51, 4 Th 3.56-3.60
Th2 0.7826 0.4991 0.9982  1 Ho 3.47, 5 Sm 3.49-3.51, 4 Th 3.56-3.60
Th3 0.7826 0.0018 0.5009  1 Ho 3.47, 5 Sm 3.49-3.51, 4 Th 3.56-3.60

Results
Size of the total moment = 0.000 μB/f.u.
ΔH_f (0 K) = 4.95 kcal/mol of atoms
ρ = 8.3 Mg/m³
Crystal system = trigonal
E = -5.2283 eV/atom
DOS at the Fermi energy = 1.477 states/eV/atom

***

Record 4
## PmSc5Sb4 (PBE)

Data for PmSc5Sb4 after structural relaxation.

Cell lengths 5.6719, 9.6899, 10.0489 Å; angles 90.00, 90.00, 90.00 degrees
With the nearest neighbours (Å) after each atom.
Positions (direct):
Pm1 0.0002 0.0000 0.0000  6 Sb 3.32-3.39
Pm2 0.9998 0.5000 0.5000  6 Sb 3.32-3.39
Sc1 0.2495 0.7500 0.7501  2 Sc 2.83-2.84, 4 Sb 2.92-2.94
Sc2 0.2495 0.2500 0.7501  2 Sc 2.83-2.84, 4 Sb 2.92-2.94
Sc3 0.5002 0.5000 0.0000  6 Sb 2.99-3.31
Sc4 0.2495 0.7500 0.2499  2 Sc 2.83-2.84, 4 Sb 2.92-2.94
Sc5 0.2495 0.2500 0.2499  2 Sc 2.83-2.84, 4 Sb 2.92-2.94
Sc6 0.7505 0.7500 0.2501  2 Sc 2.83-2.84, 4 Sb 2.92-2.94
Sc7 0.7505 0.2500 0.2501  2 Sc 2.83-2.84, 4 Sb 2.92-2.94
Sc8 0.4998 0.0000 0.5000  6 Sb 2.99-3.31
Sc9 0.7505 0.2500 0.7499  2 Sc 2.83-2.84, 4 Sb 2.92-2.94
Sc10 0.7505 0.7500 0.7499  2 Sc 2.83-2.84, 4 Sb 2.92-2.94
Sb1 0.0001 0.0000 0.6694  4 Sc 2.92
Sb2 0.5001 0.8088 0.0000  5 Sc 2.94-2.99
Sb3 0.5001 0.1912 0.0000  5 Sc 2.94-2.99
Sb4 0.0001 0.0000 0.3306  4 Sc 2.92
Sb5 0.9998 0.5000 0.1694  4 Sc 2.92
Sb6 0.4999 0.6912 0.5000  5 Sc 2.94-2.99
Sb7 0.4999 0.3088 0.5000  5 Sc 2.94-2.99
Sb8 0.9998 0.5000 0.8306  4 Sc 2.92

Results
Size of the total moment = 0.050 μB/f.u.
ρ = 5.2 Mg/m³
Crystal system = orthorhombic
E = -5.8468 eV/atom
DOS at the Fermi energy = 1.070 states/eV/atom

***

Record 5
## SrAc2UO6 (PBE)

Data for SrAc2UO6 after structural relaxation.

Cell lengths 5.8566, 5.6937, 5.6937 Å; angles 90.00, 90.00, 90.00 degrees
With the nearest neighbours (Å) after each atom.
Positions (direct):
Sr1 0.5447 0.5000 0.5000  5 O 2.39-2.43
Ac1 0.0006 0.5000 0.0000  4 O 2.51
Ac2 0.0006 0.0000 0.5000  4 O 2.51
U1 0.5803 0.0000 0.0000  5 O 2.13-2.18
O1 0.7441 0.2360 0.2360  1 U 2.13
O2 0.7441 0.2360 0.7640  1 U 2.13
O3 0.1365 0.5000 0.5000  1 Sr 2.39
O4 0.2075 0.0000 0.0000  1 U 2.18
O5 0.7441 0.7640 0.7640  1 U 2.13
O6 0.7441 0.7640 0.2360  1 U 2.13

Results
Size of the total moment = 1.976 μB/f.u.
ρ = 7.7 Mg/m³
Crystal system = tetragonal
E = -8.1499 eV/atom
DOS at the Fermi energy = 0.168 states/eV/atom

***

Record 6
## LaMgGa (PBE)

Data for LaMgGa after structural relaxation.

Cell lengths 4.9392, 4.9392, 4.9392 Å; angles 60.00, 60.00, 60.00 degrees
With the nearest neighbours (Å) after each atom.
Positions (direct):
Mg1 0.0000 0.0000 0.0000  4 Ga 3.02
Ga1 0.2500 0.2500 0.2500  4 La 3.02, 4 Mg 3.02
La1 0.5000 0.5000 0.5000  4 Ga 3.02

Results
Size of the total moment = 0.000 μB/f.u.
ΔH_f (0 K) = -9.03 kcal/mol of atoms
ρ = 4.5 Mg/m³
Crystal system = cubic
E = -3.5745 eV/atom
DOS at the Fermi energy = 0.290 states/eV/atom

***

Record 7
## LiTl2W (PBE)

Data for LiTl2W after structural relaxation.

Cell lengths 4.8866, 4.8866, 6.0493 Å; angles 82.76, 82.76, 35.41 degrees
With the nearest neighbours (Å) after each atom.
Positions (direct):
Li1 0.7500 0.7500 0.7500  6 Tl 2.94-3.00, 2 Li 2.97
Tl1 0.9995 0.9995 0.0019  3 W 2.94-2.99, 3 Li 2.94-3.00, 2 Tl 2.97
Tl2 0.5005 0.5005 0.4981  3 W 2.94-2.99, 3 Li 2.94-3.00, 2 Tl 2.97
W1 0.2500 0.2500 0.2500  6 Tl 2.94-2.99, 2 W 2.97

Results
Excess energy over the best structure of this formula in the dataset = 190 meV per atom
Size of the total moment = 0.839 μB/f.u.
ΔH_f (0 K) = 15.51 kcal/mol of atoms
ρ = 12.0 Mg/m³
Crystal system = monoclinic
E = -4.2274 eV/atom
DOS at the Fermi energy = 0.595 states/eV/atom

***

Record 8
## NdNbGe2Ru (PBE)

Data for NdNbGe2Ru after structural relaxation.

Cell lengths 4.1195, 4.1195, 6.4418 Å; angles 108.65, 108.65, 90.00 degrees
With the nearest neighbours (Å) after each atom.
Positions (direct):
Nd1 0.0000 0.0000 0.0000  8 Ge 3.19, 4 Nb 3.53, 4 Ru 3.53
Nb1 0.7500 0.2500 0.5000  4 Ge 2.60
Ge1 0.6126 0.6126 0.2252  1 Ge 2.59, 2 Nb 2.60, 2 Ru 2.60
Ge2 0.3874 0.3874 0.7748  1 Ge 2.59, 2 Nb 2.60, 2 Ru 2.60
Ru1 0.2500 0.7500 0.5000  4 Ge 2.60

Results
Size of the total moment = 0.000 μB/f.u.
ΔH_f (0 K) = -12.81 kcal/mol of atoms
ρ = 8.2 Mg/m³
Crystal system = tetragonal
E = -7.2252 eV/atom
DOS at the Fermi energy = 0.641 states/eV/atom